# 1
The following is a DFT calculation (PBE) of an optimized crystal structure of AcCe2Co.

Cell lengths 3.565, 3.565, 8.533 Å; angles 90.00, 90.00, 90.00 degrees
Fractional coordinates of all 4 atoms:
Co: 0.500 0.500 0.000
Ac: 0.500 0.500 0.500
Ce: 0.000 0.000 0.835
Ce: 0.000 0.000 0.165

excess energy over the best structure of this formula in the dataset: 92.9 meV per atom
DOS(E_F): 8.63 states/eV/f.u.
formation enthalpy at 0 K: 0.0247 eV/atom

***

# 2
The following is a DFT calculation (PBE) of an optimized crystal structure of Mg2SbPd4.

Cell lengths 4.883, 4.883, 7.565 Å; angles 71.17, 71.17, 90.00 degrees
Fractional coordinates of all 7 atoms:
Sb: 0.000 0.000 0.000
Mg: 0.616 0.616 0.767
Mg: 0.384 0.384 0.233
Pd: 0.500 0.000 0.000
Pd: 0.191 0.191 0.617
Pd: 0.000 0.500 0.000
Pd: 0.809 0.809 0.383

excess energy over the best structure of this formula in the dataset: 571.2 meV per atom
DOS(E_F): 3.43 states/eV/f.u.
raw formation energy: 59 meV per atom

***

# 3
The following is a DFT calculation (PBE) of an optimized crystal structure of K3LiAu4.

Cell lengths 6.488, 7.390, 8.339 Å; angles 131.94, 121.26, 69.27 degrees
Fractional coordinates of all 8 atoms:
K: 0.019 0.000 0.000
K: 0.776 0.236 0.552
K: 0.262 0.764 0.448
Li: 0.520 0.500 0.000
Au: 0.236 0.411 0.600
Au: 0.432 0.222 0.035
Au: 0.605 0.779 0.964
Au: 0.802 0.588 0.400

DOS(E_F): 1.68 states/eV/f.u.
formation enthalpy at 0 K: -0.2730 eV/atom

***

# 4
The following is a DFT calculation (PBE) of an optimized crystal structure of SrTl3Pb.

Cell lengths 5.031, 8.086, 8.159 Å; angles 90.00, 90.00, 90.00 degrees
Fractional coordinates of all 10 atoms:
Pb: 0.500 0.500 0.438
Pb: 0.000 0.000 0.562
Sr: 0.500 0.000 0.259
Sr: 0.000 0.500 0.741
Tl: 0.000 0.000 0.953
Tl: 0.500 0.200 0.748
Tl: 0.500 0.500 0.047
Tl: 0.000 0.700 0.252
Tl: 0.000 0.300 0.252
Tl: 0.500 0.800 0.748

excess energy over the best structure of this formula in the dataset: 0.0 meV per atom
DOS(E_F): 2.34 states/eV/f.u.
formation enthalpy at 0 K: -0.1747 eV/atom

***

# 5
The following is a DFT calculation (PBE) of an optimized crystal structure of K4ThPa3O12.

Cell lengths 7.650, 7.650, 7.650 Å; angles 109.47, 109.47, 109.47 degrees
Fractional coordinates of all 20 atoms:
O: 0.750 0.250 0.500
O: 0.000 0.741 0.741
O: 0.500 0.250 0.750
O: 0.250 0.500 0.750
O: 0.741 0.000 0.741
O: 0.750 0.500 0.250
O: 0.500 0.750 0.250
O: 0.250 0.750 0.500
O: 0.259 0.259 0.000
O: 0.000 0.259 0.259
O: 0.259 0.000 0.259
O: 0.741 0.741 0.000
K: 0.000 0.500 0.000
K: 0.000 0.000 0.500
K: 0.500 0.000 0.000
K: 0.500 0.500 0.500
Th: 0.000 0.000 0.000
Pa: 0.000 0.500 0.500
Pa: 0.500 0.500 0.000
Pa: 0.500 0.000 0.500

DOS(E_F): 11.91 states/eV/f.u.
raw formation energy: -3017 meV per atom

***

# 6
The following is a DFT calculation (PBE) of an optimized crystal structure of TiMo2W8.

Cell lengths 3.173, 7.113, 8.257 Å; angles 75.05, 79.07, 90.14 degrees
Fractional coordinates of all 11 atoms:
Mo: 0.271 0.363 0.426
Mo: 0.728 0.638 0.513
W: 0.637 0.184 0.695
W: 0.546 0.727 0.877
W: 0.362 0.816 0.245
W: 0.819 0.091 0.332
W: 0.180 0.909 0.608
W: 0.909 0.546 0.151
W: 0.090 0.454 0.788
W: 0.453 0.274 0.062
Ti: 0.000 0.000 0.970

DOS(E_F): 5.18 states/eV/f.u.
formation enthalpy at 0 K: -0.0635 eV/atom